# MnTcHg2F, optimized geometry, DFT PBE+U
# total energy: -0.1408 Ha/atom
data_MnTcHg2F
_cell_length_a 5.3831
_cell_length_b 5.3831
_cell_length_c 3.9414
_cell_angle_alpha 90.00
_cell_angle_beta 90.00
_cell_angle_gamma 90.00
_symmetry_space_group_name_H-M 'P 4/m m m'
_symmetry_Int_Tables_number 123
_symmetry_space_group_name_Hall '-P 4 2'
loop_
_atom_site_label
_atom_site_type_symbol
_atom_site_fract_x
_atom_site_fract_y
_atom_site_fract_z
Mn1 Mn 0.0000 0.0000 0.0000
Tc1 Tc 0.5000 0.5000 0.5000
Hg1 Hg 0.0000 0.5000 0.5000
F1 F 0.5000 0.5000 0.0000

---

# MnHgTeF2, optimized geometry, DFT PBE+U
# total energy: -0.1617 Ha/atom
data_MnHgTeF2
_cell_length_a 4.1280
_cell_length_b 4.1280
_cell_length_c 6.2158
_cell_angle_alpha 90.00
_cell_angle_beta 90.00
_cell_angle_gamma 90.00
_symmetry_space_group_name_H-M 'P 4/m m m'
_symmetry_Int_Tables_number 123
_symmetry_space_group_name_Hall '-P 4 2'
loop_
_atom_site_label
_atom_site_type_symbol
_atom_site_fract_x
_atom_site_fract_y
_atom_site_fract_z
Mn1 Mn 0.0000 0.0000 0.0000
Hg1 Hg 0.5000 0.5000 0.5000
Te1 Te 0.0000 0.0000 0.5000
F1 F 0.0000 0.5000 0.0000

---

# MnHgTeF2, optimized geometry, DFT PBE+U
# total energy: -0.1285 Ha/atom
data_MnHgTeF2
_cell_length_a 4.3627
_cell_length_b 4.3627
_cell_length_c 6.7119
_cell_angle_alpha 90.00
_cell_angle_beta 90.00
_cell_angle_gamma 90.00
_symmetry_space_group_name_H-M 'P 4/m m m'
_symmetry_Int_Tables_number 123
_symmetry_space_group_name_Hall '-P 4 2'
loop_
_atom_site_label
_atom_site_type_symbol
_atom_site_fract_x
_atom_site_fract_y
_atom_site_fract_z
Mn1 Mn 0.0000 0.0000 0.0000
Hg1 Hg 0.5000 0.5000 0.0000
Te1 Te 0.5000 0.5000 0.5000
F1 F 0.0000 0.5000 0.5000